No. 1
## Zr2InFe (PBE)

Data for a relaxed structure of Zr2InFe. Values from VASP.

Results
calculated total energy	-6.941	eV per atom
space group	R3m (160)
M_tot	1.6	μB/f.u.
ΔH_f (0 K)	0.133	eV per atom

Geometry as Quantum ESPRESSO input:
```
&SYSTEM
  ibrav = 0, nat = 4, ntyp = 3
/
ATOMIC_SPECIES
Fe 55.84 Fe.upf
In 114.82 In.upf
Zr 91.22 Zr.upf
ATOMIC_POSITIONS crystal
Fe 0.503 0.503 0.503
In 0.760 0.760 0.760
Zr 0.999 0.999 0.999
Zr 0.239 0.239 0.239
CELL_PARAMETERS angstrom
9.266 0.009 0.005
8.701 3.186 0.005
8.701 1.547 2.785
```

=====

No. 2
## SrZrH3 (PBE)

Data for a relaxed structure of SrZrH3. Values from VASP.

Results
calculated total energy	-3.542	eV per atom
space group	Pm-3m (221)
M_tot	2.1	μB/f.u.
distance to the lowest polymorph of the same formula	3.94	eV per formula unit

Geometry as Quantum ESPRESSO input:
```
&SYSTEM
  ibrav = 0, nat = 5, ntyp = 3
/
ATOMIC_SPECIES
Sr 87.62 Sr.upf
Zr 91.22 Zr.upf
H 1.01 H.upf
ATOMIC_POSITIONS crystal
Sr 0.000 0.000 0.000
Zr 0.500 0.500 0.500
H 0.000 0.500 0.000
H 0.000 0.000 0.500
H 0.500 0.000 0.000
CELL_PARAMETERS angstrom
4.265 0.000 0.000
0.000 4.265 0.000
0.000 0.000 4.265
```

=====

Q: What is the formula in the first record?
A: Zr2InFe

=====

Q: Which of these has the highest M_tot?
A: SrZrH3

=====

Q: M_tot of number 1 (Zr2InFe)?
A: 1.6 μB/f.u.